Record 1
The following is a DFT calculation (PBE) of a relaxed structure of CaEr2Si6.

Cell and atoms, written as extended XYZ:
```
9
Lattice="-3.1752 -0.1858 2.2862 2.6994 -5.7367 3.2829 1.4150 6.5374 2.4967" Properties=species:S:1:pos:R:3 pbc="T T T"
Er -0.9039 -1.8311 5.3070
Er 1.8431 2.4461 2.7588
Si -0.2057 0.1760 3.0842
Si 1.1450 0.4389 4.9816
Si -0.6479 4.2489 2.8013
Si 1.6202 2.6345 5.8201
Si -0.6810 -2.0196 2.2457
Si 1.5871 -3.6340 5.2645
Ca 1.4150 6.5374 2.4967
```

Properties
Fermi-level density of states = 5.71 states/eV/cell
Symmetry = No. 191
Formation energy from raw total energies = -418 meV/atom

***

Record 2
The following is a DFT calculation (PBE) of a relaxed structure of Na2TcI5.

Cell and atoms, written as extended XYZ:
```
16
Lattice="6.1130 0.0000 0.0000 -3.0565 7.4236 0.0000 0.0000 0.0000 14.2647" Properties=species:S:1:pos:R:3 pbc="T T T"
I 3.0565 6.5299 12.5929
I 0.0000 0.8937 5.4605
I 3.0565 2.6431 8.7227
I 3.0565 2.6431 12.6744
I 3.0565 2.8927 3.5662
I 0.0000 4.7805 1.5903
I 0.0000 4.7805 5.5420
I 0.0000 4.5309 10.6985
I 3.0565 6.5299 8.8041
I 0.0000 0.8937 1.6718
Na 0.0000 2.5804 13.2665
Na 0.0000 2.5804 8.1306
Na 3.0565 4.8432 0.9982
Na 3.0565 4.8432 6.1341
Tc 3.0565 4.6077 10.6985
Tc 0.0000 2.8159 3.5662
```

Properties
Fermi-level density of states = 6.38 states/eV/cell
Symmetry = No. 63
Formation energy from raw total energies = -544 meV/atom

***

Record 3
The following is a DFT calculation (PBE) of a relaxed structure of Ac4PrN4.

Cell and atoms, written as extended XYZ:
```
9
Lattice="3.7201 0.0000 0.8793 1.5761 6.3308 1.6411 -0.0921 -0.0397 8.6990" Properties=species:S:1:pos:R:3 pbc="T T T"
N 3.9463 5.7689 8.2319
N 1.2579 0.5222 2.9874
N 3.7195 1.8169 9.1914
N 1.4847 4.4741 2.0279
Pr 1.8601 0.0000 0.4396
Ac 0.5943 1.0544 5.7950
Ac 1.9624 3.7645 8.3159
Ac 3.2417 2.5266 2.9034
Ac 4.6098 5.2367 5.4243
```

Properties
Fermi-level density of states = 3.80 states/eV/cell
Symmetry = No. 12
Formation energy from raw total energies = -1000 meV/atom

***

Record 4
The following is a DFT calculation (PBE) of a relaxed structure of Ce2PrNd3Tm6.

Cell and atoms, written as extended XYZ:
```
12
Lattice="6.1788 0.0000 0.0058 -3.0879 5.3519 0.0058 -1.0415 -1.8033 11.4834" Properties=species:S:1:pos:R:3 pbc="T T T"
Tm -1.0388 1.7938 2.8422
Tm 3.0883 1.7548 8.6528
Tm 2.0509 3.5510 2.8474
Tm -0.0234 3.5519 8.6528
Tm -0.0014 -0.0025 8.6476
Tm 2.0729 -0.0034 2.8422
Pr 0.0000 0.0000 0.0000
Ce 0.0012 3.5678 0.0058
Ce 3.0897 1.7841 0.0058
Nd 4.1198 -0.0133 5.7475
Nd -2.0704 3.5618 5.7475
Nd 1.0247 1.7743 5.7475
```

Properties
Formation energy from the elements = 48 meV/atom
Fermi-level density of states = 19.81 states/eV/cell
Symmetry = No. 12

***

Which formula does entry 2 have?
Na2TcI5

***

What is the formula in the fourth record?
Ce2PrNd3Tm6